Tb2Pm3Dy8 | GGA-PBE | optimized geometry

## Properties
Energy above the most stable polymorph in this dataset: 0 meV per atom
DFT formation energy: 18 meV per atom
Volume: 32.148 Å³ per atom
Uncorrected energy: -120.2 eV for the cell shown
DOS at the Fermi energy: 1.436 states/eV per atom
Mass density: 8.16 g cm⁻³

a = 20.7867 Å, b = 5.0504 Å, c = 7.9854 Å
α = 90.00°, β = 94.39°, γ = 90.00°
Space group C2/m (No. 12)
Inequivalent atoms, fractional coordinates:
Tb1 0.2310 0.0000 0.3461 [4 per cell]
Pm1 0.0000 0.0000 0.5000 [2 per cell]
Pm2 0.0387 0.5000 0.8069 [4 per cell]
Dy1 0.0780 0.0000 0.1143 [4 per cell]
Dy2 0.1166 0.5000 0.4215 [4 per cell]
Dy3 0.1553 0.0000 0.7309 [4 per cell]
Dy4 0.1928 0.5000 0.0391 [4 per cell]